10
Lattice="-0.622 -6.471 -4.011 5.549 -2.045 -4.834 4.491 -5.957 1.641" Properties=species:S:1:pos:R:3 comment="Cs2KScCl6 (GGA-PBEsol, optimized geometry)" space_group="Fm-3m (225)" dft_energy_ev_per_atom=-4.26 pbc="T T T"
Cs 7.064 -10.855 -5.403
Cs 2.355 -3.618 -1.801
K 4.710 -7.237 -3.602
Sc 0.000 0.000 0.000
Cl 1.813 -6.821 -3.824
Cl 4.828 -7.932 -6.450
Cl 7.606 -7.652 -3.380
Cl 4.253 -10.057 -2.932
Cl 5.166 -4.416 -4.271
Cl 4.591 -6.541 -0.753

=====

5
Lattice="-2.592 0.412 2.730 0.820 -3.461 1.301 3.555 1.998 3.075" Properties=species:S:1:pos:R:3 comment="ZnAuC2S (GGA-PBEsol, optimized geometry)" space_group="P4/mmm (123)" dft_energy_ev_per_atom=-3.66 pbc="T T T"
C 0.410 -1.730 0.650
C -1.296 0.206 1.365
Zn 0.000 0.000 0.000
Au 0.891 -0.525 3.553
S 1.778 0.999 1.538

=====

6
Lattice="4.122 0.000 0.000 -2.061 3.570 0.000 0.000 0.000 5.064" Properties=species:S:1:pos:R:3 comment="Fe2Rh (GGA-PBEsol, optimized geometry)" space_group="P-3m1 (164)" delta_e_f_ev_per_atom=0.04 dft_energy_ev_per_atom=-8.65 pbc="T T T"
Fe 2.061 1.190 1.737
Fe 0.000 0.000 2.532
Fe 0.000 2.380 3.326
Fe 0.000 0.000 0.000
Rh 2.061 1.190 4.225
Rh 0.000 2.380 0.839

=====

16
Lattice="5.651 0.000 0.000 2.825 4.894 0.000 2.825 1.631 4.620" Properties=species:S:1:pos:R:3 comment="Li4MnCo3O8 (GGA-PBEsol, optimized geometry)" e_above_lowest_polymorph_mev_per_atom=2.4 space_group="R-3m (166)" dft_energy_ev_per_atom=-6.76 pbc="T T T"
Li 4.238 0.816 2.310
Li 2.825 3.263 2.310
Li 1.413 0.816 2.310
Li 5.651 3.263 2.310
Mn 0.000 0.000 0.000
Co 1.413 2.447 0.000
Co 2.825 0.000 0.000
Co 4.238 2.447 0.000
O 7.061 2.448 3.609
O 5.651 4.891 3.609
O 4.241 2.448 3.609
O 8.476 4.894 3.600
O 4.241 4.077 1.011
O 5.651 1.634 1.011
O 7.061 4.077 1.011
O 2.825 1.631 1.020